a.
Below is a relaxed structure of KLa2Ru, with properties calculated at the PBE level.

```
4
Lattice="0.0000 3.8075 3.8075 3.8075 0.0000 3.8075 3.8075 3.8075 0.0000" Properties=species:S:1:pos:R:3 pbc="T T T"
La 5.7112 5.7112 5.7112
La 1.9037 1.9037 1.9037
K 0.0000 0.0000 0.0000
Ru 3.8075 3.8075 3.8075
```

Calculated values
Theoretical density: 6.3 g/cm3
Crystal system: cubic

b.
Below is a relaxed structure of KLa2Ru, with properties calculated at the PBE level.

```
4
Lattice="4.0243 0.0000 0.0000 0.0000 4.2107 -0.0181 0.0000 2.1258 9.4490" Properties=species:S:1:pos:R:3 pbc="T T T"
Ru 0.0000 3.9548 3.1549
La 2.0121 1.8498 3.3787
La 0.0000 3.9426 0.7703
K 2.0121 3.9682 6.8244
```

Calculated values
Theoretical density: 4.3 g/cm3
Crystal system: monoclinic

Computed energies relative to the best structure, in meV per atom: a 379; b 0